(1)
Ba5Os at its PBEsol-relaxed geometry. Source: the Alexandria database, functional SCAN. Values from VASP.

Results
final energy = -266.98 eV per cell
space group = P4/mmm, No. 123

```
&SYSTEM
  ibrav = 0, nat = 6, ntyp = 2
/
ATOMIC_SPECIES
Ba 137.33 Ba.upf
Os 190.23 Os.upf
CELL_PARAMETERS angstrom
3.873 0.000 0.000
0.000 3.873 0.000
0.000 0.000 17.393
ATOMIC_POSITIONS angstrom
Ba 0.000 0.000 15.640
Ba 0.000 0.000 1.753
Ba 1.936 1.936 12.085
Ba 1.936 1.936 5.308
Ba 0.000 0.000 8.696
Os 1.936 1.936 0.000
```

=====

(2)
BaOs3 at its PBEsol-relaxed geometry. Source: the Alexandria database, functional SCAN. Values from VASP.

Results
final energy = -249.75 eV per cell
space group = Immm, No. 71

```
&SYSTEM
  ibrav = 0, nat = 4, ntyp = 2
/
ATOMIC_SPECIES
Ba 137.33 Ba.upf
Os 190.23 Os.upf
CELL_PARAMETERS angstrom
-0.221 1.907 2.102
-4.399 -2.173 1.510
4.903 -2.971 1.283
ATOMIC_POSITIONS angstrom
Ba -2.199 -1.087 0.755
Os -0.829 -1.905 3.568
Os 1.114 -1.333 1.326
Os -0.110 0.953 1.051
```

=====

(3)
BaOs3 at its PBEsol-relaxed geometry. Source: the Alexandria database, functional SCAN. Values from VASP.

Results
final energy = -251.42 eV per cell
space group = P4/mmm, No. 123

```
&SYSTEM
  ibrav = 0, nat = 4, ntyp = 2
/
ATOMIC_SPECIES
Ba 137.33 Ba.upf
Os 190.23 Os.upf
CELL_PARAMETERS angstrom
2.889 0.000 0.000
0.000 2.889 0.000
0.000 0.000 8.746
ATOMIC_POSITIONS angstrom
Ba 0.000 0.000 0.000
Os 1.444 1.444 6.060
Os 0.000 0.000 4.373
Os 1.444 1.444 2.686
```

=====

(4)
BaP4Os at its PBEsol-relaxed geometry. Source: the Alexandria database, functional SCAN. Values from VASP.

Results
final energy = -148.50 eV per cell
space group = F-43m, No. 216

```
&SYSTEM
  ibrav = 0, nat = 6, ntyp = 3
/
ATOMIC_SPECIES
Ba 137.33 Ba.upf
Os 190.23 Os.upf
P 30.97 P.upf
CELL_PARAMETERS angstrom
-3.315 -2.466 3.584
2.090 -2.443 4.425
-0.780 2.183 4.954
ATOMIC_POSITIONS angstrom
Ba -1.504 -2.045 9.723
Os 0.000 0.000 0.000
P -2.640 -2.402 6.682
P -0.711 -0.966 4.595
P -1.165 0.304 7.479
P 0.506 -2.389 7.171
```

=====

(5)
BaP2Os at its PBEsol-relaxed geometry. Source: the Alexandria database, functional SCAN. Values from VASP.

Results
final energy = -127.80 eV per cell
space group = I-4m2, No. 119

```
&SYSTEM
  ibrav = 0, nat = 4, ntyp = 3
/
ATOMIC_SPECIES
Ba 137.33 Ba.upf
Os 190.23 Os.upf
P 30.97 P.upf
CELL_PARAMETERS angstrom
4.316 0.000 0.000
0.000 4.316 0.000
-2.158 -2.158 4.136
ATOMIC_POSITIONS angstrom
Ba 2.158 2.158 0.000
Os 0.000 2.158 2.068
P 0.000 0.000 0.000
P 2.158 0.000 2.068
```

=====

(6)
BaPOs2 at its PBEsol-relaxed geometry. Source: the Alexandria database, functional SCAN. Values from VASP.

Results
final energy = -191.96 eV per cell
space group = P4mm, No. 99

```
&SYSTEM
  ibrav = 0, nat = 4, ntyp = 3
/
ATOMIC_SPECIES
Ba 137.33 Ba.upf
Os 190.23 Os.upf
P 30.97 P.upf
CELL_PARAMETERS angstrom
3.023 0.000 0.000
0.000 3.023 0.000
0.000 0.000 7.973
ATOMIC_POSITIONS angstrom
Ba 1.512 1.512 5.959
Os 0.000 0.000 0.483
Os 1.512 1.512 2.121
P 0.000 0.000 3.396
```